! Ba2DyIn3Hg12, relaxed, DFT GGA-PBE; values from VASP
! SG	No. 166
! total energy	-1.296	eV/atom
! M_tot	0.00	μB per formula unit
&SYSTEM
  ibrav = 0, nat = 18, ntyp = 4
/
ATOMIC_SPECIES
Ba 137.33 Ba.upf
Dy 162.50 Dy.upf
In 114.82 In.upf
Hg 200.59 Hg.upf
CELL_PARAMETERS angstrom
3.490 2.015 13.068
-3.490 2.015 13.068
0.000 -4.030 13.068
ATOMIC_POSITIONS angstrom
Ba 0.000 0.000 5.440
Ba 0.000 0.000 33.764
Dy 0.000 0.000 19.602
In -1.745 -1.007 13.068
In -1.745 1.007 26.135
In 0.000 2.015 13.068
Hg 0.000 -2.231 10.917
Hg -1.932 1.115 10.917
Hg -1.819 -1.050 17.449
Hg -1.932 -1.115 28.286
Hg 0.000 -2.101 21.754
Hg -1.819 1.050 21.754
Hg 1.819 -1.050 17.449
Hg 0.000 2.101 17.449
Hg 1.932 1.115 10.917
Hg 1.819 1.050 21.754
Hg 1.932 -1.115 28.286
Hg 0.000 2.231 28.286



! Ba3DyHg2O6, relaxed, DFT GGA-PBE; values from VASP
! SG	No. 164
! total energy	-5.302	eV/atom
! M_tot	0.00	μB per formula unit
! ΔE_f (raw)	-22.9	eV per formula unit
&SYSTEM
  ibrav = 0, nat = 12, ntyp = 4
/
ATOMIC_SPECIES
Ba 137.33 Ba.upf
Dy 162.50 Dy.upf
Hg 200.59 Hg.upf
O 16.00 O.upf
CELL_PARAMETERS angstrom
6.335 0.000 0.000
-3.168 5.487 0.000
0.000 0.000 7.005
ATOMIC_POSITIONS angstrom
Ba 0.000 0.000 0.000
Ba 0.000 3.658 4.297
Ba 3.168 1.829 2.708
Dy 0.000 0.000 3.503
Hg 0.000 3.658 0.905
Hg 3.168 1.829 6.100
O 0.000 1.795 2.180
O -1.613 4.589 2.180
O 1.554 0.897 4.825
O 1.613 4.589 2.180
O 4.781 0.897 4.825
O 3.168 3.692 4.825



> Which of these has the lowest total energy?

Ba3DyHg2O6



> Number 1 is which compound?

Ba2DyIn3Hg12



> The highest total energy belongs to which entry?

Ba2DyIn3Hg12